Density functional theory data (PBE with a Hubbard U) for an optimized crystal structure of AlV2O4.

a = 5.931 Å, b = 5.931 Å, c = 5.931 Å
α = 120.25°, β = 118.64°, γ = 90.96°
Site moments in Bohr magnetons follow the coordinates.
Sites, in units of the cell vectors:
O (0.719, 0.747, 0.973)  0.01
O (0.268, 0.293, 0.525)  -0.01
O (0.726, 0.253, 0.473)  0.01
O (0.732, 0.707, 0.475)  -0.01
O (0.732, 0.258, 0.025)  -0.01
O (0.274, 0.747, 0.527)  0.01
O (0.281, 0.253, 0.027)  0.01
O (0.268, 0.742, 0.975)  -0.01
Al (0.500, 0.000, 0.000)  0.01
Al (0.500, 0.500, 0.500)  0.01
V (0.000, 0.000, 0.500)  2.71
V (0.000, 0.500, 0.000)  2.71
V (0.500, 0.500, 0.000)  1.92
V (0.000, 0.500, 0.500)  1.92

Computed properties:
The calculation puts the total energy at -106.74 eV for the cell shown. Its size of the total moment is 10.000 μB per cell. The calculation puts the energy above the most stable polymorph in this dataset at 170 meV per atom.